(1)
First-principles (PBE-GGA) data for a relaxed structure of Tm8TlRh2, as listed in Alexandria.

Output
E	-5.19	eV/atom
total magnetic moment	0.00	μB per formula unit
ΔE_f	-0.3877	eV per atom

```
data_Tm8TlRh2
_chemical_formula_sum 'Tm16 Tl2 Rh4'
_cell_length_a 8.594
_cell_length_b 13.123
_cell_length_c 5.388
_cell_angle_alpha 90.00
_cell_angle_beta 104.55
_cell_angle_gamma 90.00
_space_group_name_H-M_alt 'C 1 2/m 1'
_space_group_IT_number 12
loop_
_space_group_symop_operation_xyz
'x,y,z'
'-x,-y,-z'
'-x,y,-z'
'x,-y,z'
'x+1/2,y+1/2,z'
'-x+1/2,-y+1/2,-z'
'-x+1/2,y+1/2,-z'
'x+1/2,-y+1/2,z'
loop_
_atom_site_label
_atom_site_fract_x
_atom_site_fract_y
_atom_site_fract_z
Tm1 0.000 0.245 0.000
Tm2 0.112 0.500 0.804
Tm3 0.203 0.129 0.578
Tl1 0.000 0.000 0.000
Rh1 0.000 0.306 0.500
```

---

(2)
First-principles (PBE-GGA) data for a relaxed structure of Tm6TlRh, as listed in Alexandria.

Output
E	-4.68	eV/atom
total magnetic moment	0.00	μB per formula unit
ΔE_f	-0.1113	eV per atom

```
data_Tm6TlRh
_chemical_formula_sum 'Tm12 Tl2 Rh2'
_cell_length_a 6.939
_cell_length_b 11.280
_cell_length_c 6.633
_cell_angle_alpha 90.00
_cell_angle_beta 113.74
_cell_angle_gamma 90.00
_space_group_name_H-M_alt 'C 1 2/m 1'
_space_group_IT_number 12
loop_
_space_group_symop_operation_xyz
'x,y,z'
'-x,-y,-z'
'-x,y,-z'
'x,-y,z'
'x+1/2,y+1/2,z'
'-x+1/2,-y+1/2,-z'
'-x+1/2,y+1/2,-z'
'x+1/2,-y+1/2,z'
loop_
_atom_site_label
_atom_site_fract_x
_atom_site_fract_y
_atom_site_fract_z
Tm1 0.213 0.197 0.239
Tm2 0.231 0.000 0.776
Tl1 0.000 0.500 0.500
Rh1 0.000 0.000 0.000
```

---

(3)
First-principles (PBE-GGA) data for a relaxed structure of TmTlRh, as listed in Alexandria.

Output
E	-5.20	eV/atom
total magnetic moment	0.00	μB per formula unit
ΔE_f	-0.4667	eV per atom

```
data_TmTlRh
_chemical_formula_sum 'Tm2 Tl2 Rh2'
_cell_length_a 3.611
_cell_length_b 3.611
_cell_length_c 9.660
_cell_angle_alpha 90.00
_cell_angle_beta 90.00
_cell_angle_gamma 90.00
_space_group_name_H-M_alt 'I 4 m m'
_space_group_IT_number 107
_space_group_name_Hall 'I 4 -2'
loop_
_atom_site_label
_atom_site_fract_x
_atom_site_fract_y
_atom_site_fract_z
Tm1 0.000 0.000 0.000
Tl1 0.000 0.000 0.691
Rh1 0.000 0.000 0.358
```

---

(4)
First-principles (PBE-GGA) data for a relaxed structure of YTmTlRh, as listed in Alexandria.

Output
E	-5.68	eV/atom
ΔE to the lowest computed polymorph	0.48	eV/f.u.
total magnetic moment	0.00	μB per formula unit
ΔE_f	-0.5155	eV per atom

```
data_YTmTlRh
_chemical_formula_sum 'Y4 Tm4 Tl4 Rh4'
_cell_length_a 7.193
_cell_length_b 7.193
_cell_length_c 7.193
_cell_angle_alpha 90.00
_cell_angle_beta 90.00
_cell_angle_gamma 90.00
_space_group_name_H-M_alt 'F -4 3 m'
_space_group_IT_number 216
_space_group_name_Hall 'F -4 2 3'
loop_
_atom_site_label
_atom_site_fract_x
_atom_site_fract_y
_atom_site_fract_z
Y1 0.000 0.000 0.000
Tm1 0.000 0.000 0.500
Tl1 0.250 0.250 0.250
Rh1 0.250 0.250 0.750
```

---

(5)
First-principles (PBE-GGA) data for a relaxed structure of YTmTlRh, as listed in Alexandria.

Output
E	-5.80	eV/atom
ΔE to the lowest computed polymorph	0.00	eV/f.u.
total magnetic moment	0.00	μB per formula unit
ΔE_f	-0.6352	eV per atom

```
data_YTmTlRh
_chemical_formula_sum 'Y1 Tm1 Tl1 Rh1'
_cell_length_a 3.518
_cell_length_b 3.518
_cell_length_c 7.566
_cell_angle_alpha 90.00
_cell_angle_beta 90.00
_cell_angle_gamma 90.00
_space_group_name_H-M_alt 'P 4 m m'
_space_group_IT_number 99
loop_
_space_group_symop_operation_xyz
'x,y,z'
'-y,x,z'
'-x,-y,z'
'y,-x,z'
'-x,y,z'
'y,x,z'
'x,-y,z'
'-y,-x,z'
loop_
_atom_site_label
_atom_site_fract_x
_atom_site_fract_y
_atom_site_fract_z
Y1 0.000 0.000 0.000
Tm1 0.000 0.000 0.569
Tl1 0.500 0.500 0.288
Rh1 0.500 0.500 0.773
```

---

(6)
First-principles (PBE-GGA) data for a relaxed structure of TmZrTlRh, as listed in Alexandria.

Output
E	-6.02	eV/atom
ΔE to the lowest computed polymorph	0.67	eV/f.u.
total magnetic moment	0.00	μB per formula unit
ΔE_f	-0.3375	eV per atom

```
data_TmZrTlRh
_chemical_formula_sum 'Tm4 Zr4 Tl4 Rh4'
_cell_length_a 7.009
_cell_length_b 7.009
_cell_length_c 7.009
_cell_angle_alpha 90.00
_cell_angle_beta 90.00
_cell_angle_gamma 90.00
_space_group_name_H-M_alt 'F -4 3 m'
_space_group_IT_number 216
_space_group_name_Hall 'F -4 2 3'
loop_
_atom_site_label
_atom_site_fract_x
_atom_site_fract_y
_atom_site_fract_z
Tm1 0.000 0.000 0.000
Zr1 0.000 0.000 0.500
Tl1 0.250 0.250 0.750
Rh1 0.250 0.250 0.250
```

---

(7)
First-principles (PBE-GGA) data for a relaxed structure of TmZrTlRh, as listed in Alexandria.

Output
E	-6.19	eV/atom
ΔE to the lowest computed polymorph	0.00	eV/f.u.
total magnetic moment	0.00	μB per formula unit
ΔE_f	-0.5057	eV per atom

```
data_TmZrTlRh
_chemical_formula_sum 'Tm1 Zr1 Tl1 Rh1'
_cell_length_a 3.353
_cell_length_b 3.353
_cell_length_c 7.735
_cell_angle_alpha 90.00
_cell_angle_beta 90.00
_cell_angle_gamma 90.00
_space_group_name_H-M_alt 'P 4 m m'
_space_group_IT_number 99
loop_
_space_group_symop_operation_xyz
'x,y,z'
'-y,x,z'
'-x,-y,z'
'y,-x,z'
'-x,y,z'
'y,x,z'
'x,-y,z'
'-y,-x,z'
loop_
_atom_site_label
_atom_site_fract_x
_atom_site_fract_y
_atom_site_fract_z
Tm1 0.000 0.000 0.000
Zr1 0.000 0.000 0.572
Tl1 0.500 0.500 0.297
Rh1 0.500 0.500 0.773
```

---

(8)
First-principles (PBE-GGA) data for a relaxed structure of UTlRh4, as listed in Alexandria.

Output
E	-7.44	eV/atom
total magnetic moment	0.85	μB per formula unit
ΔE_f	-0.2654	eV per atom

```
data_UTlRh4
_chemical_formula_sum 'U4 Tl4 Rh16'
_cell_length_a 7.474
_cell_length_b 7.474
_cell_length_c 7.474
_cell_angle_alpha 90.00
_cell_angle_beta 90.00
_cell_angle_gamma 90.00
_space_group_name_H-M_alt 'F -4 3 m'
_space_group_IT_number 216
_space_group_name_Hall 'F -4 2 3'
loop_
_atom_site_label
_atom_site_fract_x
_atom_site_fract_y
_atom_site_fract_z
U1 0.000 0.000 0.000
Tl1 0.250 0.250 0.750
Rh1 0.124 0.124 0.376
```